[1]
{"formula": "PmUHN2", "functional": "GGA-PBE", "state": "optimized geometry", "lattice": [[3.463, 0.000, 0.000], [0.000, 3.463, 0.000], [0.000, 0.000, 11.135]], "species": ["U", "U", "N", "N", "N", "N", "H", "H", "Pm", "Pm"], "frac_coords": [[0.500, 0.000, 0.111], [0.000, 0.500, 0.889], [0.500, 0.000, 0.294], [0.000, 0.500, 0.112], [0.000, 0.500, 0.706], [0.500, 0.000, 0.888], [0.000, 0.000, 0.500], [0.500, 0.500, 0.500], [0.500, 0.000, 0.642], [0.000, 0.500, 0.358]], "m_tot_mub_per_cell": 2.1}


[2]
{"formula": "In4Cu", "functional": "GGA-PBE", "state": "optimized geometry", "lattice": [[-4.920, 2.993, 1.201], [-0.768, -3.414, 5.364], [3.426, 4.330, 3.246]], "species": ["Cu", "Cu", "In", "In", "In", "In", "In", "In", "In", "In"], "frac_coords": [[0.000, 0.500, 0.500], [0.000, 0.000, 0.000], [0.258, 0.319, 0.181], [0.742, 0.819, 0.681], [0.742, 0.181, 0.319], [0.258, 0.681, 0.819], [0.742, 0.681, 0.181], [0.258, 0.819, 0.319], [0.258, 0.181, 0.681], [0.742, 0.319, 0.819]], "m_tot_mub_per_cell": 0.0, "formation_energy_ev_per_atom": 0.031, "polymorph_energy_mev_per_atom": 0}


[3]
{"formula": "PmBe4Pt2Rh", "functional": "GGA-PBE", "state": "optimized geometry", "lattice": [[-1.379, 1.057, -3.535], [-0.419, -2.699, -2.838], [-8.316, -2.044, 0.439]], "species": ["Pt", "Pt", "Be", "Be", "Be", "Be", "Pm", "Rh"], "frac_coords": [[0.761, 0.761, 0.718], [0.239, 0.239, 0.282], [0.411, 0.411, 0.767], [0.866, 0.866, 0.403], [0.134, 0.134, 0.597], [0.589, 0.589, 0.233], [0.000, 0.000, 0.000], [0.500, 0.500, 0.500]], "m_tot_mub_per_cell": 0.0, "formation_energy_ev_per_atom": -0.700}


[4]
{"formula": "Cd2TcP", "functional": "GGA-PBE", "state": "optimized geometry", "lattice": [[-1.431, 1.902, 7.117], [1.431, -1.902, 7.117], [1.431, 1.902, -7.117]], "species": ["Cd", "Cd", "P", "Tc"], "frac_coords": [[0.182, 0.182, 0.000], [0.818, 0.818, 0.000], [0.500, 0.000, 0.500], [0.000, 0.500, 0.500]], "m_tot_mub_per_cell": 0.3, "formation_energy_ev_per_atom": 0.005}


[5]
{"formula": "ZrPbC3", "functional": "GGA-PBE", "state": "optimized geometry", "lattice": [[4.417, 0.000, 0.000], [0.000, 4.417, 0.000], [0.000, 0.000, 4.417]], "species": ["Pb", "C", "C", "C", "Zr"], "frac_coords": [[0.500, 0.500, 0.500], [0.000, 0.000, 0.500], [0.000, 0.500, 0.000], [0.500, 0.000, 0.000], [0.000, 0.000, 0.000]], "m_tot_mub_per_cell": 0.0, "formation_energy_ev_per_atom": 1.854, "polymorph_energy_mev_per_atom": 0}


[6]
{"formula": "CaTa3Ni", "functional": "GGA-PBE", "state": "optimized geometry", "lattice": [[4.687, 0.000, 0.000], [0.000, 4.687, 0.000], [0.000, 0.000, 4.687]], "species": ["Ta", "Ta", "Ta", "Ni", "Ca"], "frac_coords": [[0.000, 0.500, 0.000], [0.000, 0.000, 0.500], [0.500, 0.000, 0.000], [0.500, 0.500, 0.500], [0.000, 0.000, 0.000]], "m_tot_mub_per_cell": 0.7, "formation_energy_ev_per_atom": 2.783, "polymorph_energy_mev_per_atom": 1892}


Number 1: VASP energy -8.44 eV per atom. Number 2: VASP energy -2.98 eV per atom. Number 3: VASP energy -5.59 eV per atom. Number 4: VASP energy -4.40 eV per atom. Number 5: VASP energy -6.13 eV per atom. Number 6: VASP energy -5.89 eV per atom.